# 1
Material: ZnCoMo2I
Method: DFT, meta-GGA SCAN
State: single point on PBEsol structure

Computed properties:
N(E_F), states/eV/cell: 4.39
Uncorrected formation energy, eV/atom: 2.366
DFT total energy, eV/atom: -25.10

Structure (POSCAR):
```
ZnCoMo2I
1.0
4.8214 0.0000 0.0000
0.0000 4.8214 0.0000
0.0000 0.0000 4.8284
Zn Co Mo I
1 1 2 1
Direct
0.0000 0.0000 0.0000 Zn
0.5000 0.5000 0.0000 Co
0.0000 0.5000 0.5000 Mo
0.5000 0.0000 0.5000 Mo
0.0000 0.0000 0.5000 I
```

# 2
Material: CoIN3
Method: DFT, meta-GGA SCAN
State: single point on PBEsol structure

Computed properties:
N(E_F), states/eV/cell: 1.86
Uncorrected formation energy, eV/atom: 2.397
DFT total energy, eV/atom: -13.99

Structure (POSCAR):
```
CoIN3
1.0
3.9131 0.0000 0.0000
0.0000 3.9131 0.0000
0.0000 0.0000 3.9131
Co I N
1 1 3
Direct
0.0000 0.0000 0.0000 Co
0.5000 0.5000 0.5000 I
0.0000 0.5000 0.5000 N
0.5000 0.0000 0.5000 N
0.5000 0.5000 0.0000 N
```

# 3
Material: CoI3N
Method: DFT, meta-GGA SCAN
State: single point on PBEsol structure

Computed properties:
N(E_F), states/eV/cell: 6.67
Uncorrected formation energy, eV/atom: 1.066
DFT total energy, eV/atom: -26.30

Structure (POSCAR):
```
CoI3N
1.0
5.2104 0.0000 0.0000
0.0000 5.2104 0.0000
0.0000 0.0000 5.2104
Co I N
1 3 1
Direct
0.0000 0.0000 0.0000 Co
0.0000 0.0000 0.5000 I
0.0000 0.5000 0.0000 I
0.5000 0.0000 0.0000 I
0.5000 0.5000 0.5000 N
```

# 4
Material: NaCoIN2
Method: DFT, meta-GGA SCAN
State: single point on PBEsol structure

Computed properties:
N(E_F), states/eV/cell: 1.57
Uncorrected formation energy, eV/atom: 1.809
DFT total energy, eV/atom: -13.56

Structure (POSCAR):
```
NaCoIN2
1.0
4.2649 0.0000 0.0000
0.0000 4.2649 0.0000
0.0000 0.0000 5.8179
Na Co I N
1 1 1 2
Direct
0.0000 0.0000 0.0000 Na
0.5000 0.5000 0.5000 Co
0.0000 0.0000 0.5000 I
0.0000 0.5000 0.0000 N
0.5000 0.0000 0.0000 N
```

# 5
Material: CoOsIN2
Method: DFT, meta-GGA SCAN
State: single point on PBEsol structure

Computed properties:
N(E_F), states/eV/cell: 3.41
Uncorrected formation energy, eV/atom: 1.856
DFT total energy, eV/atom: -27.05

Structure (POSCAR):
```
CoOsIN2
1.0
3.6309 0.0000 0.0000
0.0000 3.6309 0.0000
0.0000 0.0000 5.4137
Co Os I N
1 1 1 2
Direct
0.0000 0.0000 0.0000 Co
0.5000 0.5000 0.5000 Os
0.0000 0.0000 0.5000 I
0.0000 0.5000 0.0000 N
0.5000 0.0000 0.0000 N
```

# 6
Material: CoPIN2
Method: DFT, meta-GGA SCAN
State: single point on PBEsol structure

Computed properties:
N(E_F), states/eV/cell: 1.66
Uncorrected formation energy, eV/atom: 1.012
DFT total energy, eV/atom: -15.59

Structure (POSCAR):
```
CoPIN2
1.0
3.4189 0.0000 0.0000
0.0000 3.4189 0.0000
0.0000 0.0000 6.6007
Co P I N
1 1 1 2
Direct
0.0000 0.0000 0.0000 Co
0.5000 0.5000 0.5000 P
0.5000 0.5000 0.0000 I
0.0000 0.5000 0.5000 N
0.5000 0.0000 0.5000 N
```

# 7
Material: CoPbI2N
Method: DFT, meta-GGA SCAN
State: single point on PBEsol structure

Computed properties:
N(E_F), states/eV/cell: 8.09
Uncorrected formation energy, eV/atom: 1.337
DFT total energy, eV/atom: -33.83

Structure (POSCAR):
```
CoPbI2N
1.0
6.0614 0.0000 0.0000
0.0000 6.0614 0.0000
0.0000 0.0000 4.0618
Co Pb I N
1 1 2 1
Direct
0.0000 0.0000 0.0000 Co
0.5000 0.5000 0.5000 Pb
0.0000 0.5000 0.5000 I
0.5000 0.0000 0.5000 I
0.5000 0.5000 0.0000 N
```

# 8
Material: Co2RhIN
Method: DFT, meta-GGA SCAN
State: single point on PBEsol structure

Computed properties:
N(E_F), states/eV/cell: 1.93
Uncorrected formation energy, eV/atom: 2.240
DFT total energy, eV/atom: -20.64

Structure (POSCAR):
```
Co2RhIN
1.0
4.6099 0.0000 0.0000
0.0000 4.6099 0.0000
0.0000 0.0000 4.8522
Co Rh I N
2 1 1 1
Direct
0.0000 0.5000 0.0000 Co
0.5000 0.0000 0.0000 Co
0.0000 0.0000 0.5000 Rh
0.0000 0.0000 0.0000 I
0.5000 0.5000 0.5000 N
```

# 9
Material: CoRuI2N
Method: DFT, meta-GGA SCAN
State: single point on PBEsol structure

Computed properties:
N(E_F), states/eV/cell: 3.86
Relative energy among the computed polymorphs, meV/atom: 0
Uncorrected formation energy, eV/atom: 0.750
DFT total energy, eV/atom: -26.23

Structure (POSCAR):
```
CoRuI2N
1.0
5.3962 0.0000 0.0000
0.0000 5.3962 0.0000
0.0000 0.0000 3.6328
Co Ru I N
1 1 2 1
Direct
0.0000 0.0000 0.0000 Co
0.5000 0.5000 0.5000 Ru
0.0000 0.5000 0.5000 I
0.5000 0.0000 0.5000 I
0.5000 0.5000 0.0000 N
```

# 10
Material: CoRuI2N
Method: DFT, meta-GGA SCAN
State: single point on PBEsol structure

Computed properties:
N(E_F), states/eV/cell: 4.11
Relative energy among the computed polymorphs, meV/atom: 284
Uncorrected formation energy, eV/atom: 1.034
DFT total energy, eV/atom: -25.95

Structure (POSCAR):
```
CoRuI2N
1.0
5.1235 0.0000 0.0000
0.0000 5.1235 0.0000
0.0000 0.0000 3.3419
Co Ru I N
1 1 2 1
Direct
0.0000 0.0000 0.0000 Co
0.5000 0.5000 0.5000 Ru
0.0000 0.5000 0.0000 I
0.5000 0.0000 0.0000 I
0.0000 0.0000 0.5000 N
```

# 11
Material: CoSI2N
Method: DFT, meta-GGA SCAN
State: single point on PBEsol structure

Computed properties:
N(E_F), states/eV/cell: 4.77
Uncorrected formation energy, eV/atom: 0.826
DFT total energy, eV/atom: -21.12

Structure (POSCAR):
```
CoSI2N
1.0
5.2869 0.0000 0.0000
0.0000 5.2869 0.0000
0.0000 0.0000 3.4006
Co S I N
1 1 2 1
Direct
0.0000 0.0000 0.0000 Co
0.5000 0.5000 0.5000 S
0.0000 0.5000 0.0000 I
0.5000 0.0000 0.0000 I
0.0000 0.0000 0.5000 N
```

# 12
Material: CoSbI2N
Method: DFT, meta-GGA SCAN
State: single point on PBEsol structure

Computed properties:
N(E_F), states/eV/cell: 1.73
Uncorrected formation energy, eV/atom: 1.146
DFT total energy, eV/atom: -26.32

Structure (POSCAR):
```
CoSbI2N
1.0
5.3303 0.0000 0.0000
0.0000 5.3303 0.0000
0.0000 0.0000 4.6699
Co Sb I N
1 1 2 1
Direct
0.0000 0.0000 0.0000 Co
0.0000 0.0000 0.5000 Sb
0.0000 0.5000 0.0000 I
0.5000 0.0000 0.0000 I
0.5000 0.5000 0.5000 N
```

Results for calculated volume: 22.4, 12.0, 28.3, 21.2, 14.3, 15.4, 29.8, 20.6, 21.2, 17.5, 19.0, 26.5 (in Å³/atom, following the order of the records).
Results for mass density: 6.56, 6.31, 5.33, 3.72, 9.40, 5.27, 5.94, 5.82, 6.72, 8.10, 6.27, 5.61 (in Mg/m³, following the order of the records).